[1]
Compound: Ac2TlBr
Source: Alexandria
Functional: PBE
Structure: relaxed

space group: R-3m, No. 166
crystal system: trigonal
E above lowest polymorph: 8.2 kJ/mol of formula units
V: 37.2 A^3/atom
formation energy without anion corrections: -0.77 eV/atom

a = 4.912 Å, b = 4.912 Å, c = 7.668 Å
α = 71.32°, β = 71.32°, γ = 60.00°
Element x y z (fractional)
Tl: 0.000 0.000 0.000
Ac: 0.747 0.747 0.758
Ac: 0.253 0.253 0.242
Br: 0.500 0.500 0.500

[2]
Compound: AcTlBr4
Source: Alexandria
Functional: PBE
Structure: relaxed

space group: C2/m, No. 12
crystal system: monoclinic
E above lowest polymorph: 0.0 kJ/mol of formula units
V: 44.1 A^3/atom
formation energy without anion corrections: -1.61 eV/atom

a = 4.772 Å, b = 9.975 Å, c = 12.165 Å
α = 71.85°, β = 78.69°, γ = 76.16°
Element x y z (fractional)
Br: 0.168 0.713 0.452
Br: 0.952 0.424 0.173
Br: 0.667 0.213 0.952
Br: 0.452 0.924 0.673
Br: 0.048 0.576 0.827
Br: 0.333 0.787 0.048
Br: 0.548 0.076 0.327
Br: 0.832 0.287 0.548
Tl: 0.250 0.250 0.750
Tl: 0.750 0.750 0.250
Ac: 0.500 0.500 0.000
Ac: 0.000 0.000 0.500

[3]
Compound: Ac2TmBr
Source: Alexandria
Functional: PBE
Structure: relaxed

space group: R-3m, No. 166
crystal system: trigonal
V: 37.1 A^3/atom
formation energy without anion corrections: -0.50 eV/atom

a = 3.909 Å, b = 3.909 Å, c = 11.426 Å
α = 80.15°, β = 80.15°, γ = 60.00°
Element x y z (fractional)
Br: 0.000 0.000 0.000
Ac: 0.256 0.256 0.233
Ac: 0.744 0.744 0.767
Tm: 0.500 0.500 0.500